(1)
PaAl2Ge | GGA-PBE | optimized geometry

Structure (POSCAR):
```
PaAl2Ge
1.0
2.209 1.275 4.870
-2.209 1.275 4.870
0.000 -2.551 4.870
Pa Al Ge
1 2 1
Direct
0.000 0.000 0.000 Pa
0.214 0.214 0.214 Al
0.786 0.786 0.786 Al
0.500 0.500 0.500 Ge
```

calculated formation energy: 50 meV per atom
distance to the lowest polymorph of the same formula: 404 meV per atom
total magnetization: 0.0585 μB/atom
density: 7.215 g cm⁻³

=====

(2)
Rb3CaGe2O6 | GGA-PBE | optimized geometry

Structure (POSCAR):
```
Rb3CaGe2O6
1.0
6.211 0.000 0.000
-3.105 5.379 0.000
0.000 0.000 7.548
Rb Ca Ge O
3 1 2 6
Direct
0.000 0.000 0.000 Rb
0.333 0.667 0.707 Rb
0.667 0.333 0.293 Rb
0.000 0.000 0.500 Ca
0.333 0.667 0.261 Ge
0.667 0.333 0.739 Ge
0.174 0.349 0.304 O
0.174 0.826 0.304 O
0.349 0.174 0.696 O
0.651 0.826 0.304 O
0.826 0.174 0.696 O
0.826 0.651 0.696 O
```

formation energy (no corrections): -40.11 kcal/mol of atoms
total magnetization: 0.0666 μB/atom
density: 3.542 g cm⁻³

=====

(3)
Ag4Pt7 | GGA-PBE | optimized geometry

Structure (POSCAR):
```
Ag4Pt7
1.0
4.909 0.000 0.000
0.848 4.885 0.000
0.818 -0.123 7.474
Ag Pt
4 7
Direct
0.042 0.409 0.316 Ag
0.411 0.679 0.868 Ag
0.589 0.321 0.132 Ag
0.958 0.591 0.684 Ag
0.133 0.217 0.946 Pt
0.235 0.044 0.589 Pt
0.316 0.866 0.235 Pt
0.500 0.500 0.500 Pt
0.684 0.134 0.765 Pt
0.765 0.956 0.411 Pt
0.867 0.783 0.054 Pt
```

calculated formation energy: 28 meV per atom
distance to the lowest polymorph of the same formula: 46 meV per atom
total magnetization: 0.0000 μB/atom
density: 16.650 g cm⁻³

=====

(4)
Ca2Pb | GGA-PBE | optimized geometry

Structure (POSCAR):
```
Ca2Pb
1.0
-3.866 3.866 3.529
3.866 -3.866 3.529
3.866 3.866 -3.529
Ca Pb
4 2
Direct
0.181 0.681 0.862 Ca
0.319 0.181 0.500 Ca
0.681 0.819 0.500 Ca
0.819 0.319 0.138 Ca
0.250 0.250 0.000 Pb
0.750 0.750 0.000 Pb
```

calculated formation energy: -432 meV per atom
total magnetization: 0.0000 μB/atom
density: 4.523 g cm⁻³